# NdTmNi2

An optimized crystal structure of NdTmNi2 (GGA-PBE, Alexandria).

Output
The calculation puts the total magnetization at 0.00 μB per formula unit. The value obtained for the calculated formation energy is -1.60 eV/f.u. Its energy above the most stable polymorph in this dataset is 0.0000 eV/atom. The density is 8.7 g/cm³.

The structure in CIF format:
```
data_NdTmNi2
_chemical_formula_sum 'Nd2 Tm2 Ni4'
_cell_length_a 4.247
_cell_length_b 3.776
_cell_length_c 10.269
_cell_angle_alpha 90.00
_cell_angle_beta 90.00
_cell_angle_gamma 90.00
_space_group_name_H-M_alt 'A m m 2'
_space_group_IT_number 38
loop_
_space_group_symop_operation_xyz
'x,y,z'
'-x,-y,z'
'-x,y,z'
'x,-y,z'
'x,y+1/2,z+1/2'
'-x,-y+1/2,z+1/2'
'-x,y+1/2,z+1/2'
'x,-y+1/2,z+1/2'
loop_
_atom_site_label
_atom_site_type_symbol
_atom_site_fract_x
_atom_site_fract_y
_atom_site_fract_z
Nd1 Nd 0.000 0.000 0.000
Tm1 Tm 0.500 0.000 0.722
Ni1 Ni 0.000 0.000 0.283
Ni2 Ni 0.500 0.000 0.425
```

# TbErCo2

An optimized crystal structure of TbErCo2 (GGA-PBE, Alexandria).

Output
The calculation puts the total magnetization at 0.76 μB per formula unit. The value obtained for the calculated formation energy is -0.63 eV/f.u. The density is 10.0 g/cm³.

The structure in CIF format:
```
data_TbErCo2
_chemical_formula_sum 'Tb1 Er1 Co2'
_cell_length_a 4.704
_cell_length_b 4.704
_cell_length_c 3.339
_cell_angle_alpha 90.00
_cell_angle_beta 90.00
_cell_angle_gamma 90.00
_space_group_name_H-M_alt 'P 4/m m m'
_space_group_IT_number 123
_space_group_name_Hall '-P 4 2'
loop_
_atom_site_label
_atom_site_type_symbol
_atom_site_fract_x
_atom_site_fract_y
_atom_site_fract_z
Tb1 Tb 0.000 0.000 0.000
Er1 Er 0.500 0.500 0.000
Co1 Co 0.000 0.500 0.500
```

# LiCaTe2

An optimized crystal structure of LiCaTe2 (GGA-PBE, Alexandria).

Output
Its formation energy from raw total energies is -0.978 eV per atom. The calculation puts the total magnetization at 0.00 μB per formula unit. The density is 4.5 g/cm³.

The structure in CIF format:
```
data_LiCaTe2
_chemical_formula_sum 'Li1 Ca1 Te2'
_cell_length_a 4.099
_cell_length_b 4.086
_cell_length_c 6.901
_cell_angle_alpha 90.00
_cell_angle_beta 105.80
_cell_angle_gamma 90.00
_space_group_name_H-M_alt 'P 1 2/m 1'
_space_group_IT_number 10
loop_
_space_group_symop_operation_xyz
'x,y,z'
'-x,-y,-z'
'-x,y,-z'
'x,-y,z'
loop_
_atom_site_label
_atom_site_type_symbol
_atom_site_fract_x
_atom_site_fract_y
_atom_site_fract_z
Li1 Li 0.000 0.000 0.000
Ca1 Ca 0.000 0.000 0.500
Te1 Te 0.456 0.500 0.241
```

# Ni3PdN

An optimized crystal structure of Ni3PdN (GGA-PBE, Alexandria).

Output
Its formation energy from raw total energies is 0.066 eV per atom. The calculation puts the total magnetization at 0.00 μB per formula unit. The density is 8.8 g/cm³.

The structure in CIF format:
```
data_Ni3PdN
_chemical_formula_sum 'Ni12 Pd4 N4'
_cell_length_a 8.543
_cell_length_b 5.550
_cell_length_c 6.371
_cell_angle_alpha 90.00
_cell_angle_beta 131.92
_cell_angle_gamma 90.00
_space_group_name_H-M_alt 'C 1 m 1'
_space_group_IT_number 8
loop_
_space_group_symop_operation_xyz
'x,y,z'
'x,-y,z'
'x+1/2,y+1/2,z'
'x+1/2,-y+1/2,z'
loop_
_atom_site_label
_atom_site_type_symbol
_atom_site_fract_x
_atom_site_fract_y
_atom_site_fract_z
Ni1 Ni 0.000 0.000 0.000
Ni2 Ni 0.053 0.000 0.643
Ni3 Ni 0.247 0.252 0.511
Ni4 Ni 0.332 0.277 0.192
Pd1 Pd 0.083 0.500 0.677
Pd2 Pd 0.480 0.000 0.011
N1 N 0.057 0.000 0.346
N2 N 0.220 0.000 0.013
```

# ZrAgI2O

An optimized crystal structure of ZrAgI2O (GGA-PBE, Alexandria).

Output
Its formation energy from raw total energies is -0.923 eV per atom. The calculation puts the total magnetization at 0.54 μB per formula unit. Its energy above the most stable polymorph in this dataset is 0.0000 eV/atom. The density is 5.5 g/cm³.

The structure in CIF format:
```
data_ZrAgI2O
_chemical_formula_sum 'Zr1 Ag1 I2 O1'
_cell_length_a 5.907
_cell_length_b 5.907
_cell_length_c 4.022
_cell_angle_alpha 90.00
_cell_angle_beta 90.00
_cell_angle_gamma 90.00
_space_group_name_H-M_alt 'P 4/m m m'
_space_group_IT_number 123
_space_group_name_Hall '-P 4 2'
loop_
_atom_site_label
_atom_site_type_symbol
_atom_site_fract_x
_atom_site_fract_y
_atom_site_fract_z
Zr1 Zr 0.000 0.000 0.000
Ag1 Ag 0.500 0.500 0.500
I1 I 0.000 0.500 0.000
O1 O 0.000 0.000 0.500
```

# SrLaTiF2

An optimized crystal structure of SrLaTiF2 (GGA-PBE, Alexandria).

Output
Its formation energy from raw total energies is -0.809 eV per atom. The calculation puts the total magnetization at 0.00 μB per formula unit. The density is 4.3 g/cm³.

The structure in CIF format:
```
data_SrLaTiF2
_chemical_formula_sum 'Sr1 La1 Ti1 F2'
_cell_length_a 4.255
_cell_length_b 4.255
_cell_length_c 6.632
_cell_angle_alpha 90.00
_cell_angle_beta 90.00
_cell_angle_gamma 90.00
_space_group_name_H-M_alt 'P 4/m m m'
_space_group_IT_number 123
_space_group_name_Hall '-P 4 2'
loop_
_atom_site_label
_atom_site_type_symbol
_atom_site_fract_x
_atom_site_fract_y
_atom_site_fract_z
Sr1 Sr 0.000 0.000 0.000
La1 La 0.500 0.500 0.000
Ti1 Ti 0.000 0.000 0.500
F1 F 0.000 0.500 0.500
```

# PuAl4Au6

An optimized crystal structure of PuAl4Au6 (GGA-PBE, Alexandria).

Output
The calculation puts the total magnetization at 5.67 μB per formula unit. The value obtained for the calculated formation energy is -3.32 eV/f.u. Its energy above the most stable polymorph in this dataset is 0.1216 eV/atom. The density is 11.5 g/cm³.

The structure in CIF format:
```
data_PuAl4Au6
_chemical_formula_sum 'Pu2 Al8 Au12'
_cell_length_a 6.798
_cell_length_b 6.798
_cell_length_c 9.586
_cell_angle_alpha 90.00
_cell_angle_beta 90.00
_cell_angle_gamma 90.00
_space_group_name_H-M_alt 'I -4 2 m'
_space_group_IT_number 121
_space_group_name_Hall 'I -4 2'
loop_
_atom_site_label
_atom_site_type_symbol
_atom_site_fract_x
_atom_site_fract_y
_atom_site_fract_z
Pu1 Pu 0.000 0.000 0.000
Al1 Al 0.169 0.169 0.406
Au1 Au 0.000 0.500 0.000
Au2 Au 0.191 0.191 0.686
```

# Sc2MoH6

An optimized crystal structure of Sc2MoH6 (GGA-PBE, Alexandria).

Output
The calculation puts the total magnetization at 0.00 μB per formula unit. The density is 4.2 g/cm³. As for the total DFT energy (no corrections): -5.3112 eV/atom.

The structure in CIF format:
```
data_Sc2MoH6
_chemical_formula_sum 'Sc8 Mo4 H24'
_cell_length_a 6.744
_cell_length_b 6.744
_cell_length_c 6.744
_cell_angle_alpha 90.00
_cell_angle_beta 90.00
_cell_angle_gamma 90.00
_space_group_name_H-M_alt 'F m -3 m'
_space_group_IT_number 225
_space_group_name_Hall '-F 4 2 3'
loop_
_atom_site_label
_atom_site_type_symbol
_atom_site_fract_x
_atom_site_fract_y
_atom_site_fract_z
Sc1 Sc 0.250 0.250 0.250
Mo1 Mo 0.000 0.000 0.000
H1 H 0.000 0.000 0.269
```

# GaHg2I

An optimized crystal structure of GaHg2I (GGA-PBE, Alexandria).

Output
Its formation energy from raw total energies is -0.069 eV per atom. The calculation puts the total magnetization at 0.00 μB per formula unit. Its energy above the most stable polymorph in this dataset is 0.0839 eV/atom. The density is 8.1 g/cm³.

The structure in CIF format:
```
data_GaHg2I
_chemical_formula_sum 'Ga3 Hg6 I3'
_cell_length_a 4.4090
_cell_length_b 4.4090
_cell_length_c 21.9649
_cell_angle_alpha 90.00
_cell_angle_beta 90.00
_cell_angle_gamma 120.00
_space_group_name_H-M_alt 'R -3 m'
_space_group_IT_number 166
_space_group_name_Hall '-R 3 2"'
loop_
_atom_site_label
_atom_site_type_symbol
_atom_site_fract_x
_atom_site_fract_y
_atom_site_fract_z
Ga1 Ga 0.0000 0.0000 0.0000
Hg1 Hg 0.0000 0.0000 0.2640
I1 I 0.0000 0.0000 0.5000
```

# MgScTlPb

An optimized crystal structure of MgScTlPb (GGA-PBE, Alexandria).

Output
The calculation puts the total magnetization at 0.00 μB per formula unit. The value obtained for the calculated formation energy is -0.83 eV/f.u. Its energy above the most stable polymorph in this dataset is 0.0000 eV/atom. The density is 8.2 g/cm³.

The structure in CIF format:
```
data_MgScTlPb
_chemical_formula_sum 'Mg1 Sc1 Tl1 Pb1'
_cell_length_a 4.282
_cell_length_b 4.619
_cell_length_c 4.911
_cell_angle_alpha 90.00
_cell_angle_beta 90.00
_cell_angle_gamma 90.00
_space_group_name_H-M_alt 'P m m m'
_space_group_IT_number 47
loop_
_space_group_symop_operation_xyz
'x,y,z'
'-x,-y,-z'
'-x,-y,z'
'x,y,-z'
'x,-y,-z'
'-x,y,z'
'-x,y,-z'
'x,-y,z'
loop_
_atom_site_label
_atom_site_type_symbol
_atom_site_fract_x
_atom_site_fract_y
_atom_site_fract_z
Mg1 Mg 0.000 0.000 0.000
Sc1 Sc 0.000 0.500 0.500
Tl1 Tl 0.500 0.500 0.000
Pb1 Pb 0.500 0.000 0.500
```